No. 1
U2Si4Ir3Ru after structural relaxation. Source: Alexandria via LeMat-Bulk, functional PBE.

Output
**ρ**: 12.570 g cm⁻³
**VASP energy**: -8.78 eV/atom
**Symmetry**: P-4m2, No. 115
**E_form (uncorrected)**: -0.7668 eV per atom

Cell: 4.1469 4.1469 9.7264 Å, 90.00 90.00 90.00°
Last column: nearest neighbours and their distance in Å.
Atoms (fractional coordinates):
1 U 0.0000 0.5000 0.2457  6 Ir 3.14-3.23, 8 Si 3.16-3.18, 2 Ru 3.23
2 U 0.5000 0.0000 0.7543  6 Ir 3.14-3.23, 8 Si 3.16-3.18, 2 Ru 3.23
3 Si 0.0000 0.0000 0.0000  4 Ir 2.42
4 Si 0.0000 0.5000 0.6274  3 Ir 2.37-2.42, 2 Ru 2.42
5 Si 0.5000 0.0000 0.3726  3 Ir 2.37-2.42, 2 Ru 2.42
6 Si 0.5000 0.5000 0.0000  4 Ir 2.42
7 Ir 0.0000 0.5000 0.8712  5 Si 2.37-2.42
8 Ir 0.5000 0.0000 0.1288  5 Si 2.37-2.42
9 Ir 0.5000 0.5000 0.5000  4 Si 2.42
10 Ru 0.0000 0.0000 0.5000  4 Si 2.42



No. 2
USi2IrRu after structural relaxation. Source: Alexandria via LeMat-Bulk, functional PBE.

Output
**ρ**: 11.825 g cm⁻³
**VASP energy**: -8.80 eV/atom
**Symmetry**: I-4m2, No. 119
**E_form (uncorrected)**: -0.7485 eV per atom

Cell: 4.1006 4.1006 9.8127 Å, 90.00 90.00 90.00°
Last column: nearest neighbours and their distance in Å.
Atoms (fractional coordinates):
1 U 0.0000 0.0000 0.0000  8 Si 3.14, 4 Ru 3.20, 4 Ir 3.20
2 U 0.5000 0.5000 0.5000  8 Si 3.14, 4 Ru 3.20, 4 Ir 3.20
3 Si 0.0000 0.0000 0.3784  1 Si 2.39, 2 Ru 2.41, 2 Ir 2.41
4 Si 0.0000 0.0000 0.6216  1 Si 2.39, 2 Ru 2.41, 2 Ir 2.41
5 Si 0.5000 0.5000 0.1216  1 Si 2.39, 2 Ru 2.41, 2 Ir 2.41
6 Si 0.5000 0.5000 0.8784  1 Si 2.39, 2 Ru 2.41, 2 Ir 2.41
7 Ir 0.0000 0.5000 0.2500  4 Si 2.41
8 Ir 0.5000 0.0000 0.7500  4 Si 2.41
9 Ru 0.0000 0.5000 0.7500  4 Si 2.41
10 Ru 0.5000 0.0000 0.2500  4 Si 2.41



No. 3
VSiIrRu after structural relaxation. Source: Alexandria via LeMat-Bulk, functional PBE.

Output
**ρ**: 11.433 g cm⁻³
**VASP energy**: -8.59 eV/atom
**Symmetry**: F-43m, No. 216
**E_form (uncorrected)**: -0.4186 eV per atom

Cell: 6.0029 6.0029 6.0029 Å, 90.00 90.00 90.00°
Last column: nearest neighbours and their distance in Å.
Atoms (fractional coordinates):
1 V 0.0000 0.0000 0.0000  4 Ru 2.60, 4 Ir 2.60
2 V 0.0000 0.5000 0.5000  4 Ru 2.60, 4 Ir 2.60
3 V 0.5000 0.0000 0.5000  4 Ru 2.60, 4 Ir 2.60
4 V 0.5000 0.5000 0.0000  4 Ru 2.60, 4 Ir 2.60
5 Si 0.0000 0.0000 0.5000  4 Ir 2.60, 4 Ru 2.60
6 Si 0.0000 0.5000 0.0000  4 Ir 2.60, 4 Ru 2.60
7 Si 0.5000 0.0000 0.0000  4 Ir 2.60, 4 Ru 2.60
8 Si 0.5000 0.5000 0.5000  4 Ir 2.60, 4 Ru 2.60
9 Ir 0.2500 0.2500 0.7500  4 Si 2.60, 4 V 2.60
10 Ir 0.2500 0.7500 0.2500  4 Si 2.60, 4 V 2.60
11 Ir 0.7500 0.2500 0.2500  4 Si 2.60, 4 V 2.60
12 Ir 0.7500 0.7500 0.7500  4 Si 2.60, 4 V 2.60
13 Ru 0.2500 0.2500 0.2500  4 Si 2.60, 4 V 2.60
14 Ru 0.2500 0.7500 0.7500  4 Si 2.60, 4 V 2.60
15 Ru 0.7500 0.2500 0.7500  4 Si 2.60, 4 V 2.60
16 Ru 0.7500 0.7500 0.2500  4 Si 2.60, 4 V 2.60



No. 4
YSi2IrRu after structural relaxation. Source: Alexandria via LeMat-Bulk, functional PBE.

Output
**ρ**: 8.719 g cm⁻³
**VASP energy**: -8.12 eV/atom
**Symmetry**: I-4m2, No. 119
**E_form (uncorrected)**: -1.0311 eV per atom

Cell: 4.1357 4.1357 9.7623 Å, 90.00 90.00 90.00°
Last column: nearest neighbours and their distance in Å.
Atoms (fractional coordinates):
1 Y 0.0000 0.0000 0.0000  8 Si 3.18, 4 Ru 3.20, 4 Ir 3.20
2 Y 0.5000 0.5000 0.5000  8 Si 3.18, 4 Ru 3.20, 4 Ir 3.20
3 Si 0.0000 0.0000 0.3732  2 Ru 2.39, 2 Ir 2.39, 1 Si 2.48
4 Si 0.0000 0.0000 0.6268  2 Ru 2.39, 2 Ir 2.39, 1 Si 2.48
5 Si 0.5000 0.5000 0.1268  2 Ru 2.39, 2 Ir 2.39, 1 Si 2.48
6 Si 0.5000 0.5000 0.8732  2 Ru 2.39, 2 Ir 2.39, 1 Si 2.48
7 Ir 0.0000 0.5000 0.2500  4 Si 2.39
8 Ir 0.5000 0.0000 0.7500  4 Si 2.39
9 Ru 0.0000 0.5000 0.7500  4 Si 2.39
10 Ru 0.5000 0.0000 0.2500  4 Si 2.39



No. 5
YSi3IrRu after structural relaxation. Source: Alexandria via LeMat-Bulk, functional PBE.

Output
**ρ**: 6.642 g cm⁻³
**VASP energy**: -7.35 eV/atom
**Symmetry**: Cmcm, No. 63
**E_form (uncorrected)**: -0.5345 eV per atom

Cell: 7.4468 7.4468 5.5357 Å, 90.00 90.00 130.56°
Last column: nearest neighbours and their distance in Å.
Atoms (fractional coordinates):
1 Y 0.1852 0.8148 0.7500  2 Si 2.83
2 Y 0.8148 0.1852 0.2500  2 Si 2.83
3 Si 0.2273 0.7727 0.2500  1 Ru 2.23, 1 Ir 2.24
4 Si 0.2873 0.2873 0.0000  2 Ir 2.40, 2 Ru 2.42, 1 Si 2.65
5 Si 0.2873 0.2873 0.5000  2 Ir 2.40, 2 Ru 2.42, 1 Si 2.65
6 Si 0.7127 0.7127 0.0000  2 Ir 2.40, 2 Ru 2.42, 1 Si 2.65
7 Si 0.7127 0.7127 0.5000  2 Ir 2.40, 2 Ru 2.42, 1 Si 2.65
8 Si 0.7727 0.2273 0.7500  1 Ru 2.23, 1 Ir 2.24
9 Ir 0.3931 0.6069 0.2500  5 Si 2.24-2.40
10 Ir 0.6069 0.3931 0.7500  5 Si 2.24-2.40
11 Ru 0.0627 0.9373 0.2500  5 Si 2.23-2.42
12 Ru 0.9373 0.0627 0.7500  5 Si 2.23-2.42



No. 6
YSi2IrRu after structural relaxation. Source: Alexandria via LeMat-Bulk, functional PBE.

Output
**ρ**: 6.663 g cm⁻³
**VASP energy**: -6.67 eV/atom
**Symmetry**: P4/mmm, No. 123
**E_form (uncorrected)**: 0.4178 eV per atom

Cell: 4.5091 4.5091 5.3732 Å, 90.00 90.00 90.00°
Last column: nearest neighbours and their distance in Å.
Atoms (fractional coordinates):
1 Y 0.0000 0.0000 0.0000  2 Ir 2.69
2 Si 0.0000 0.5000 0.5000  2 Ir 2.25
3 Si 0.5000 0.0000 0.5000  2 Ir 2.25
4 Ir 0.0000 0.0000 0.5000  4 Si 2.25
5 Ru 0.5000 0.5000 0.0000  4 Y 3.19, 8 Si 3.51



No. 7
Zr2Si4Ir3Ru after structural relaxation. Source: Alexandria via LeMat-Bulk, functional PBE.

Output
**ρ**: 10.096 g cm⁻³
**VASP energy**: -8.35 eV/atom
**Symmetry**: P-4m2, No. 115
**E_form (uncorrected)**: -0.8851 eV per atom

Cell: 4.0918 4.0918 9.5540 Å, 90.00 90.00 90.00°
Last column: nearest neighbours and their distance in Å.
Atoms (fractional coordinates):
1 Zr 0.0000 0.5000 0.2500  8 Si 3.11-3.15, 6 Ir 3.12-3.14, 2 Ru 3.14
2 Zr 0.5000 0.0000 0.7500  8 Si 3.11-3.15, 6 Ir 3.12-3.14, 2 Ru 3.14
3 Si 0.0000 0.0000 0.0000  4 Ir 2.39
4 Si 0.0000 0.5000 0.6294  3 Ir 2.31-2.39, 2 Ru 2.39
5 Si 0.5000 0.0000 0.3706  3 Ir 2.31-2.39, 2 Ru 2.39
6 Si 0.5000 0.5000 0.0000  4 Ir 2.39
7 Ir 0.0000 0.5000 0.8716  5 Si 2.31-2.39
8 Ir 0.5000 0.0000 0.1284  5 Si 2.31-2.39
9 Ir 0.5000 0.5000 0.5000  4 Si 2.39
10 Ru 0.0000 0.0000 0.5000  4 Si 2.39



No. 8
Sm6Ir2Ru after structural relaxation. Source: Alexandria via LeMat-Bulk, functional PBE.

Output
**E_form**: -0.441 eV/atom
**ρ**: 9.291 g cm⁻³
**VASP energy**: -6.59 eV/atom
**Symmetry**: P2_1/c, No. 14

Cell: 6.7454 7.4602 11.7682 Å, 90.00 123.11 90.00°
Last column: nearest neighbours and their distance in Å.
Atoms (fractional coordinates):
1 Sm 0.0857 0.0440 0.2449  1 Ru 2.79, 2 Ir 2.85-2.88
2 Sm 0.0857 0.4560 0.7449  1 Ru 2.79, 2 Ir 2.85-2.88
3 Sm 0.2372 0.6677 0.0777  1 Ru 2.70, 2 Ir 2.97-2.99
4 Sm 0.2372 0.8323 0.5777  1 Ru 2.70, 2 Ir 2.97-2.99
5 Sm 0.3897 0.1748 0.0658  1 Ru 2.77, 1 Ir 2.89
6 Sm 0.3897 0.3252 0.5658  1 Ru 2.77, 1 Ir 2.89
7 Sm 0.6103 0.6748 0.4342  1 Ru 2.77, 1 Ir 2.89
8 Sm 0.6103 0.8252 0.9342  1 Ru 2.77, 1 Ir 2.89
9 Sm 0.7628 0.1677 0.4223  1 Ru 2.70, 2 Ir 2.97-2.99
10 Sm 0.7628 0.3323 0.9223  1 Ru 2.70, 2 Ir 2.97-2.99
11 Sm 0.9143 0.5440 0.2551  1 Ru 2.79, 2 Ir 2.85-2.88
12 Sm 0.9143 0.9560 0.7551  1 Ru 2.79, 2 Ir 2.85-2.88
13 Ir 0.3154 0.1225 0.7733  6 Sm 2.85-3.14
14 Ir 0.3154 0.3775 0.2733  6 Sm 2.85-3.14
15 Ir 0.6846 0.6225 0.7267  6 Sm 2.85-3.14
16 Ir 0.6846 0.8775 0.2267  6 Sm 2.85-3.14
17 Ru 0.5000 0.0000 0.5000  6 Sm 2.70-2.79
18 Ru 0.5000 0.5000 0.0000  6 Sm 2.70-2.79



No. 9
Sm2IrRu after structural relaxation. Source: Alexandria via LeMat-Bulk, functional PBE.

Output
**E_form**: -0.414 eV/atom
**ρ**: 11.625 g cm⁻³
**VASP energy**: -7.31 eV/atom
**Symmetry**: Fm-3m, No. 225

Cell: 6.9754 6.9754 6.9754 Å, 90.00 90.00 90.00°
Last column: nearest neighbours and their distance in Å.
Atoms (fractional coordinates):
1 Sm 0.2500 0.2500 0.2500  4 Ru 3.02, 4 Ir 3.02
2 Sm 0.2500 0.2500 0.7500  4 Ru 3.02, 4 Ir 3.02
3 Sm 0.2500 0.7500 0.2500  4 Ru 3.02, 4 Ir 3.02
4 Sm 0.2500 0.7500 0.7500  4 Ru 3.02, 4 Ir 3.02
5 Sm 0.7500 0.2500 0.2500  4 Ru 3.02, 4 Ir 3.02
6 Sm 0.7500 0.2500 0.7500  4 Ru 3.02, 4 Ir 3.02
7 Sm 0.7500 0.7500 0.2500  4 Ru 3.02, 4 Ir 3.02
8 Sm 0.7500 0.7500 0.7500  4 Ru 3.02, 4 Ir 3.02
9 Ir 0.0000 0.0000 0.0000  8 Sm 3.02
10 Ir 0.0000 0.5000 0.5000  8 Sm 3.02
11 Ir 0.5000 0.0000 0.5000  8 Sm 3.02
12 Ir 0.5000 0.5000 0.0000  8 Sm 3.02
13 Ru 0.0000 0.0000 0.5000  8 Sm 3.02
14 Ru 0.0000 0.5000 0.0000  8 Sm 3.02
15 Ru 0.5000 0.0000 0.0000  8 Sm 3.02
16 Ru 0.5000 0.5000 0.5000  8 Sm 3.02



No. 10
Sm2IrRu after structural relaxation. Source: Alexandria via LeMat-Bulk, functional PBE.

Output
**E_form**: -0.409 eV/atom
**ρ**: 11.633 g cm⁻³
**VASP energy**: -7.30 eV/atom
**Symmetry**: P4/mmm, No. 123

Cell: 4.9227 4.9227 3.4989 Å, 90.00 90.00 90.00°
Last column: nearest neighbours and their distance in Å.
Atoms (fractional coordinates):
1 Sm 0.0000 0.5000 0.0000  4 Ru 3.02, 4 Ir 3.02
2 Sm 0.5000 0.0000 0.0000  4 Ru 3.02, 4 Ir 3.02
3 Ir 0.0000 0.0000 0.5000  8 Sm 3.02
4 Ru 0.5000 0.5000 0.5000  8 Sm 3.02



No. 11
SmIrRu after structural relaxation. Source: Alexandria via LeMat-Bulk, functional PBE.

Output
**E_form**: -0.481 eV/atom
**ρ**: 13.242 g cm⁻³
**VASP energy**: -8.10 eV/atom
**Symmetry**: Amm2, No. 38

Cell: 8.9712 5.3353 5.3353 Å, 60.63 90.00 90.00°
Last column: nearest neighbours and their distance in Å.
Atoms (fractional coordinates):
1 Sm 0.1812 0.0000 0.0000  7 Ir 3.11-3.15, 5 Ru 3.15-3.25, 4 Sm 3.25-3.33
2 Sm 0.3166 0.3329 0.3329  5 Ir 3.12-3.22, 7 Ru 3.13-3.22, 4 Sm 3.29-3.33
3 Sm 0.6834 0.3329 0.3329  5 Ir 3.12-3.22, 7 Ru 3.13-3.22, 4 Sm 3.29-3.33
4 Sm 0.8188 0.0000 0.0000  7 Ir 3.11-3.15, 5 Ru 3.15-3.25, 4 Sm 3.25-3.33
5 Ir 0.0000 0.0068 0.4992  2 Ru 2.61-2.72, 4 Ir 2.65-2.74
6 Ir 0.0000 0.4992 0.0068  2 Ru 2.61-2.72, 4 Ir 2.65-2.74
7 Ir 0.2496 0.6655 0.6655  4 Ru 2.72-2.78, 2 Ir 2.74
8 Ir 0.7504 0.6655 0.6655  4 Ru 2.72-2.78, 2 Ir 2.74
9 Ru 0.0000 0.4971 0.4971  6 Ir 2.61-2.72
10 Ru 0.5000 0.3324 0.8342  4 Ru 2.59-2.75, 2 Ir 2.73
11 Ru 0.5000 0.8342 0.3324  4 Ru 2.59-2.75, 2 Ir 2.73
12 Ru 0.5000 0.8434 0.8434  4 Ru 2.59-2.75, 2 Ir 2.78



No. 12
SmIrRu after structural relaxation. Source: Alexandria via LeMat-Bulk, functional PBE.

Output
**E_form**: -0.487 eV/atom
**ρ**: 13.228 g cm⁻³
**VASP energy**: -8.11 eV/atom
**Symmetry**: Imma, No. 74

Cell: 5.2408 5.4784 7.7592 Å, 90.00 90.00 90.00°
Last column: nearest neighbours and their distance in Å.
Atoms (fractional coordinates):
1 Sm 0.0000 0.2500 0.1233  6 Ir 3.11-3.23, 6 Ru 3.18-3.19, 4 Sm 3.28-3.34
2 Sm 0.0000 0.7500 0.8767  6 Ir 3.11-3.23, 6 Ru 3.18-3.19, 4 Sm 3.28-3.34
3 Sm 0.5000 0.2500 0.3767  6 Ir 3.11-3.23, 6 Ru 3.18-3.19, 4 Sm 3.28-3.34
4 Sm 0.5000 0.7500 0.6233  6 Ir 3.11-3.23, 6 Ru 3.18-3.19, 4 Sm 3.28-3.34
5 Ir 0.0000 0.0000 0.5000  4 Ru 2.71, 2 Ir 2.74
6 Ir 0.0000 0.5000 0.5000  4 Ru 2.71, 2 Ir 2.74
7 Ir 0.5000 0.0000 0.0000  4 Ru 2.71, 2 Ir 2.74
8 Ir 0.5000 0.5000 0.0000  4 Ru 2.71, 2 Ir 2.74
9 Ru 0.2500 0.2500 0.7500  2 Ru 2.62, 4 Ir 2.71
10 Ru 0.2500 0.7500 0.2500  2 Ru 2.62, 4 Ir 2.71
11 Ru 0.7500 0.2500 0.7500  2 Ru 2.62, 4 Ir 2.71
12 Ru 0.7500 0.7500 0.2500  2 Ru 2.62, 4 Ir 2.71



Q: The highest ρ belongs to which entry?
A: number 11